## CaOs2Ru2 (PBE)

Data for a geometry-optimized CaOs2Ru2 structure.

SG: P4/mbm (127)
M_tot: 0.000 Bohr magnetons per cell
ΔE_f: 0.21 eV per atom
E: -83.97 eV/cell

a b c (Å): 7.7208 7.7208 2.7435
angles (deg): 90.00 90.00 90.00
With the nearest neighbours (Å) after each atom.
Sites, in units of the cell vectors:
Os1 0.6716 0.8284 0.5000  6 Ru 2.65-2.67, 2 Os 2.74
Ca1 0.5000 0.5000 0.0000  2 Ca 2.74
Ru1 0.3794 0.8794 0.0000  3 Ru 2.63-2.74, 6 Os 2.65-2.67
Ru2 0.6206 0.1206 0.0000  3 Ru 2.63-2.74, 6 Os 2.65-2.67
Os2 0.8284 0.3284 0.5000  6 Ru 2.65-2.67, 2 Os 2.74
Ru3 0.8794 0.6206 0.0000  3 Ru 2.63-2.74, 6 Os 2.65-2.67
Os3 0.1716 0.6716 0.5000  6 Ru 2.65-2.67, 2 Os 2.74
Ru4 0.1206 0.3794 0.0000  3 Ru 2.63-2.74, 6 Os 2.65-2.67
Ca2 0.0000 0.0000 0.0000  2 Ca 2.74
Os4 0.3284 0.1716 0.5000  6 Ru 2.65-2.67, 2 Os 2.74